First-principles (GGA-PBEsol) data for crystalline NiRu3Se at its relaxed geometry, as listed in Alexandria via LeMat-Bulk.

Cell lengths 4.3784, 4.3784, 4.3784 Å; angles 90.00, 90.00, 90.00 degrees
Last column: nearest neighbours and their distance in Å.
Fractional positions:
1 Ni 0.0000 0.0000 0.0000  6 Ru 2.19
2 Ru 0.0000 0.0000 0.5000  2 Ni 2.19
3 Ru 0.0000 0.5000 0.0000  2 Ni 2.19
4 Ru 0.5000 0.0000 0.0000  2 Ni 2.19
5 Se 0.5000 0.5000 0.5000  12 Ru 3.10

Results
Space group = Pm-3m (221)
Total moment = 2.63 μB per formula unit
Uncorrected formation energy = 160.3 kJ per mole of atoms
Electronic total energy = -32.22 eV for the cell shown